No. 1
# Te3OsN

Crystalline Te3OsN at its relaxed geometry (PBE-GGA, the Alexandria database).

Lattice parameters (Å, degrees): 5.1677 5.1677 5.1677 90.00 90.00 90.00
Closest atoms and distances in Å follow each position.
Positions (direct):
Te 0.0000 0.0000 0.5000  2 Os 2.58
Te 0.0000 0.5000 0.0000  2 Os 2.58
Te 0.5000 0.0000 0.0000  2 Os 2.58
Os 0.0000 0.0000 0.0000  6 Te 2.58
N 0.5000 0.5000 0.5000  12 Te 3.65

Electronic total energy ... -19.7 eV per cell
Formation energy without anion corrections ... 1.8508 eV per atom
Space-group type ... Pm-3m, No. 221
Excess energy over the best structure of this formula in the dataset ... 259 kJ/mol of formula units
Spin magnetization ... 0.00 μB/f.u.

=====

No. 2
# Y5SnSe4

Crystalline Y5SnSe4 at its relaxed geometry (PBE-GGA, the Alexandria database).

Lattice parameters (Å, degrees): 7.2075 7.2075 7.2075 99.58 99.58 131.86
Closest atoms and distances in Å follow each position.
Positions (direct):
Y 0.0000 0.0000 0.0000  2 Sn 2.94, 4 Se 2.96
Y 0.1950 0.6007 0.7957  5 Se 2.91-2.94, 1 Sn 2.99
Y 0.3993 0.1950 0.5944  5 Se 2.91-2.94, 1 Sn 2.99
Y 0.6007 0.8050 0.4056  5 Se 2.91-2.94, 1 Sn 2.99
Y 0.8050 0.3993 0.2043  5 Se 2.91-2.94, 1 Sn 2.99
Sn 0.5000 0.5000 0.0000  6 Y 2.94-2.99
Se 0.1022 0.3007 0.4028  6 Y 2.91-2.96
Se 0.3007 0.8978 0.1985  6 Y 2.91-2.96
Se 0.6993 0.1022 0.8015  6 Y 2.91-2.96
Se 0.8978 0.6993 0.5972  6 Y 2.91-2.96

Electronic total energy ... -66.1 eV per cell
Formation energy without anion corrections ... -1.5840 eV per atom
Space-group type ... I4/m, No. 87
Spin magnetization ... 0.00 μB/f.u.

=====

No. 3
# KTeHN2

Crystalline KTeHN2 at its relaxed geometry (PBE-GGA, the Alexandria database).

Lattice parameters (Å, degrees): 4.7935 4.7935 3.7167 90.00 90.00 90.00
Closest atoms and distances in Å follow each position.
Positions (direct):
K 0.0000 0.0000 0.0000  2 H 1.86
Te 0.5000 0.5000 0.5000  8 N 3.03, 4 H 3.39
H 0.0000 0.0000 0.5000  2 K 1.86
N 0.0000 0.5000 0.0000  2 K 2.40
N 0.5000 0.0000 0.0000  2 K 2.40

Electronic total energy ... -12.8 eV per cell
Space-group type ... P4/mmm, No. 123
Excess energy over the best structure of this formula in the dataset ... 303 kJ/mol of formula units
Spin magnetization ... 2.37 μB/f.u.

=====

No. 4
# Nd6PtRh5

Crystalline Nd6PtRh5 at its relaxed geometry (PBE-GGA, the Alexandria database).

Lattice parameters (Å, degrees): 5.0159 7.1440 7.9189 90.00 108.32 90.00
Closest atoms and distances in Å follow each position.
Positions (direct):
Nd 0.0000 0.2483 0.0000  6 Rh 3.06-3.12, 2 Pt 3.09
Nd 0.0000 0.7517 0.0000  6 Rh 3.06-3.12, 2 Pt 3.09
Nd 0.3323 0.2493 0.6651  7 Rh 3.04-3.08, 1 Pt 3.09
Nd 0.3323 0.7507 0.6651  7 Rh 3.04-3.08, 1 Pt 3.09
Nd 0.6677 0.2493 0.3349  7 Rh 3.04-3.08, 1 Pt 3.09
Nd 0.6677 0.7507 0.3349  7 Rh 3.04-3.08, 1 Pt 3.09
Pt 0.5000 0.5000 0.0000  8 Nd 3.09
Rh 0.1660 0.0000 0.3309  8 Nd 3.06-3.08
Rh 0.1703 0.5000 0.3389  8 Nd 3.04-3.12
Rh 0.5000 0.0000 0.0000  8 Nd 3.07-3.08
Rh 0.8297 0.5000 0.6611  8 Nd 3.04-3.12
Rh 0.8340 0.0000 0.6691  8 Nd 3.06-3.08

Electronic total energy ... -80.0 eV per cell
Space-group type ... P2/m, No. 10
Formation energy from the elements ... -0.714 eV per atom
Spin magnetization ... 0.00 μB/f.u.

=====

No. 5
# Na2VFeAu

Crystalline Na2VFeAu at its relaxed geometry (PBE-GGA, the Alexandria database).

Lattice parameters (Å, degrees): 5.5918 5.5918 3.9151 90.00 90.00 90.00
Closest atoms and distances in Å follow each position.
Positions (direct):
Na 0.0000 0.5000 0.0000  2 V 2.80
Na 0.5000 0.0000 0.0000  2 V 2.80
V 0.0000 0.0000 0.0000  2 Fe 1.96
Fe 0.0000 0.0000 0.5000  2 V 1.96
Au 0.5000 0.5000 0.5000  8 Na 3.41

Electronic total energy ... -17.7 eV per cell
Space-group type ... P4/mmm, No. 123
Formation energy from the elements ... 1.160 eV per atom
Spin magnetization ... 0.26 μB/f.u.

=====

No. 6
# SrTaO3

Crystalline SrTaO3 at its relaxed geometry (PBE-GGA, the Alexandria database).

Lattice parameters (Å, degrees): 10.9228 10.9228 10.9228 159.92 159.92 28.55
Closest atoms and distances in Å follow each position.
Positions (direct):
Sr 0.0000 0.0000 0.0000  4 O 2.58
Sr 0.7500 0.2500 0.5000  4 O 2.46
Ta 0.1340 0.6340 0.5000  6 O 2.11-2.18
Ta 0.3660 0.8660 0.5000  6 O 2.11-2.18
O 0.3236 0.3236 0.0000  2 Ta 2.11
O 0.3638 0.1131 0.2507  2 O 1.90-1.91
O 0.6764 0.6764 0.0000  2 Ta 2.11
O 0.8624 0.1131 0.7493  2 O 1.90-1.91
O 0.8869 0.1376 0.2507  2 O 1.90-1.91
O 0.8869 0.6362 0.7493  2 O 1.90-1.91

Electronic total energy ... -72.8 eV per cell
Formation energy without anion corrections ... -1.5976 eV per atom
Space-group type ... I-4m2, No. 119
Spin magnetization ... 0.02 μB/f.u.

=====

No. 7
# ZnGeRuSeO

Crystalline ZnGeRuSeO at its relaxed geometry (PBE-GGA, the Alexandria database).

Lattice parameters (Å, degrees): 4.4624 4.4624 5.0305 105.97 105.97 56.28
Closest atoms and distances in Å follow each position.
Positions (direct):
Zn 0.0000 0.0000 0.0000  2 O 2.33, 1 Ru 2.58
Ge 0.4418 0.4418 0.2987  1 O 1.83
Ru 0.8730 0.8730 0.4601  1 O 2.11
Se 0.2234 0.2234 0.6974  3 Ru 2.64-2.85, 1 Zn 2.66
O 0.6232 0.6232 0.1418  1 Ge 1.83

Electronic total energy ... -25.6 eV per cell
Formation energy without anion corrections ... -0.4052 eV per atom
Space-group type ... Cm, No. 8
Excess energy over the best structure of this formula in the dataset ... 82 kJ/mol of formula units
Spin magnetization ... 0.00 μB/f.u.

=====

No. 8
# Na2CaMn

Crystalline Na2CaMn at its relaxed geometry (PBE-GGA, the Alexandria database).

Lattice parameters (Å, degrees): 12.4180 12.4180 12.4180 160.19 160.19 28.16
Closest atoms and distances in Å follow each position.
Positions (direct):
Na 0.1034 0.6250 0.9784  4 Na 2.89-3.15
Na 0.3750 0.3534 0.4784  4 Na 2.89-3.15
Na 0.6466 0.1250 0.0216  4 Na 2.89-3.15
Na 0.8750 0.8966 0.5216  4 Na 2.89-3.15
Ca 0.2500 0.7500 0.5000  4 Mn 3.02
Ca 0.5000 0.5000 0.0000  4 Mn 3.02
Mn 0.0000 0.0000 0.0000  4 Ca 3.02, 4 Na 3.34
Mn 0.7500 0.2500 0.5000  4 Ca 3.02, 4 Na 3.34

Electronic total energy ... -19.7 eV per cell
Space-group type ... I-42d, No. 122
Excess energy over the best structure of this formula in the dataset ... 181 kJ/mol of formula units
Formation energy from the elements ... 0.991 eV per atom
Spin magnetization ... 0.16 μB/f.u.